No. 1
This record from the Alexandria database describes an optimized crystal structure of CePuTh2. The functional is PBE.

Unit cell a=3.4912 b=3.4912 c=11.5233 alpha=81.29 beta=81.29 gamma=60.00
Sites, in units of the cell vectors:
Ce 0.4988 0.4988 0.5035
Th 0.0822 0.0822 0.7535
Th 0.2506 0.2506 0.2481
Pu 0.6684 0.6684 0.9949

The value obtained for the magnetization is 5.981 μB per cell. The calculation puts the total energy at -34.617 eV per cell. The calculation puts the energy relative to the lowest polymorph listed for this composition at 0.241 eV per formula unit. The calculation puts the energy of formation from the pure elements at 0.122 eV/atom.



No. 2
This record from the Alexandria database describes an optimized crystal structure of Ce2PuTh. The functional is PBE.

Unit cell a=3.5492 b=3.5492 c=10.2340 alpha=80.01 beta=80.01 gamma=60.00
Sites, in units of the cell vectors:
Pu 0.5000 0.5000 0.5000
Ce 0.1140 0.1140 0.6580
Ce 0.8860 0.8860 0.3420
Th 0.0000 0.0000 0.0000

The value obtained for the magnetization is 1.163 μB per cell. The calculation puts the total energy at -31.637 eV per cell. The calculation puts the energy relative to the lowest polymorph listed for this composition at 1.777 eV per formula unit. The calculation puts the energy of formation from the pure elements at 0.496 eV/atom.



No. 3
This record from the Alexandria database describes an optimized crystal structure of Ce2PuTh6. The functional is PBE.

Unit cell a=6.0649 b=6.0562 c=8.6195 alpha=90.00 beta=90.00 gamma=120.05
Sites, in units of the cell vectors:
Pu 0.5000 0.0000 0.0000
Th 0.8281 0.1664 0.3297
Th 0.6617 0.8336 0.6703
Th 0.8304 0.6609 0.0000
Th 0.1719 0.8336 0.3297
Th 0.1696 0.3391 0.0000
Th 0.3383 0.1664 0.6703
Ce 0.0000 0.5000 0.6634
Ce 0.5000 0.5000 0.3366

The value obtained for the magnetization is 4.998 μB per cell. The calculation puts the total energy at -69.489 eV per cell. The calculation puts the energy of formation from the pure elements at 0.137 eV/atom.



No. 4
This record from the Alexandria database describes an optimized crystal structure of CePu2Th. The functional is PBE.

Unit cell a=3.8794 b=3.8794 c=7.4672 alpha=90.00 beta=90.00 gamma=90.00
Sites, in units of the cell vectors:
Th 0.5000 0.5000 0.0000
Ce 0.5000 0.5000 0.5000
Pu 0.0000 0.0000 0.2715
Pu 0.0000 0.0000 0.7285

The value obtained for the magnetization is 13.594 μB per cell. The calculation puts the total energy at -41.249 eV per cell. The calculation puts the energy relative to the lowest polymorph listed for this composition at 0.159 eV per formula unit. The calculation puts the energy of formation from the pure elements at 0.192 eV/atom.



No. 5
This record from the Alexandria database describes an optimized crystal structure of CePu2Th. The functional is PBE.

Unit cell a=3.9726 b=3.9726 c=8.1984 alpha=75.98 beta=75.98 gamma=60.00
Sites, in units of the cell vectors:
Pu 0.2677 0.2677 0.1970
Pu 0.0628 0.0628 0.8117
Ce 0.6694 0.6694 0.9917
Th 0.5002 0.5002 0.4996

The value obtained for the magnetization is 0.591 μB per cell. The calculation puts the total energy at -40.696 eV per cell. The calculation puts the energy relative to the lowest polymorph listed for this composition at 0.712 eV per formula unit. The calculation puts the energy of formation from the pure elements at 0.330 eV/atom.



No. 6
This record from the Alexandria database describes an optimized crystal structure of CePu4Th. The functional is PBE.

Unit cell a=6.1118 b=6.1118 c=6.1118 alpha=60.00 beta=60.00 gamma=60.00
Sites, in units of the cell vectors:
Th 0.2500 0.2500 0.2500
Pu 0.6253 0.6253 0.6253
Pu 0.6253 0.6253 0.1242
Pu 0.1242 0.6253 0.6253
Pu 0.6253 0.1242 0.6253
Ce 0.0000 0.0000 0.0000

The value obtained for the magnetization is 21.983 μB per cell. The calculation puts the total energy at -69.355 eV per cell. The calculation puts the energy of formation from the pure elements at 0.221 eV/atom.